An optimized crystal structure of Ho3Er2In3. Source: the Alexandria database, functional PBE-GGA.

a = 11.541 Å, b = 11.541 Å, c = 11.541 Å
α = 161.37°, β = 153.41°, γ = 32.66°
Fractional coordinates of all 8 atoms:
Ho1 0.000 0.000 0.000
Ho2 0.375 0.875 0.500
Ho3 0.625 0.125 0.500
Er1 0.235 0.235 0.000
Er2 0.765 0.765 0.000
In1 0.120 0.620 0.500
In2 0.500 0.500 0.000
In3 0.880 0.380 0.500

Results
crystal system: orthorhombic
N(E_F): 6.0 states/eV per cell
energy of formation from the pure elements: -0.359 eV/atom